Record 1
Density functional theory data (PBEsol) for Zr2Zn2Cd after structural relaxation.

Values from the calculation:
Its space-group type is I4/mmm. Its crystal system is tetragonal. Its energy relative to the elements is 180 meV/atom.

The structure in CIF format:
```
data_Zr2Zn2Cd
_chemical_formula_sum 'Zr2 Zn2 Cd1'
_cell_length_a 4.158
_cell_length_b 4.158
_cell_length_c 6.562
_cell_angle_alpha 108.47
_cell_angle_beta 108.47
_cell_angle_gamma 90.00
_space_group_name_H-M_alt 'P 1'
_space_group_IT_number 1
_space_group_name_Hall 'P 1'
loop_
_atom_site_label
_atom_site_type_symbol
_atom_site_fract_x
_atom_site_fract_y
_atom_site_fract_z
Zn1 Zn 0.403 0.403 0.807
Zn2 Zn 0.597 0.597 0.193
Zr1 Zr 0.250 0.750 0.500
Zr2 Zr 0.750 0.250 0.500
Cd1 Cd 0.000 0.000 0.000
```



Record 2
Density functional theory data (PBEsol) for OsRhNF2 after structural relaxation.

Values from the calculation:
Its space-group type is P4/mmm. The formation energy without anion corrections is 0.393 eV/atom. Its crystal system is tetragonal.

The structure in CIF format:
```
data_OsRhNF2
_chemical_formula_sum 'Os1 Rh1 N1 F2'
_cell_length_a 3.731
_cell_length_b 4.146
_cell_length_c 4.146
_cell_angle_alpha 90.00
_cell_angle_beta 90.00
_cell_angle_gamma 90.00
_space_group_name_H-M_alt 'P 1'
_space_group_IT_number 1
_space_group_name_Hall 'P 1'
loop_
_atom_site_label
_atom_site_type_symbol
_atom_site_fract_x
_atom_site_fract_y
_atom_site_fract_z
F1 F 0.000 0.500 0.000
F2 F 0.000 0.000 0.500
Rh1 Rh 0.500 0.500 0.500
Os1 Os 0.000 0.000 0.000
N1 N 0.500 0.000 0.000
```



Record 3
Density functional theory data (PBEsol) for Ca2HfTaIr after structural relaxation.

Values from the calculation:
Its space-group type is P4/mmm. Its crystal system is tetragonal. Its energy relative to the elements is 785 meV/atom.

The structure in CIF format:
```
data_Ca2HfTaIr
_chemical_formula_sum 'Ca2 Hf1 Ta1 Ir1'
_cell_length_a 4.888
_cell_length_b 5.214
_cell_length_c 5.214
_cell_angle_alpha 90.00
_cell_angle_beta 90.00
_cell_angle_gamma 90.00
_space_group_name_H-M_alt 'P 1'
_space_group_IT_number 1
_space_group_name_Hall 'P 1'
loop_
_atom_site_label
_atom_site_type_symbol
_atom_site_fract_x
_atom_site_fract_y
_atom_site_fract_z
Ca1 Ca 0.000 0.500 0.000
Ca2 Ca 0.000 0.000 0.500
Ir1 Ir 0.000 0.000 0.000
Hf1 Hf 0.500 0.500 0.500
Ta1 Ta 0.500 0.000 0.000
```



Record 4
Density functional theory data (PBEsol) for KLiCu2 after structural relaxation.

Values from the calculation:
Its space-group type is P4/mmm. The value obtained for the energy above the most stable polymorph in this dataset is 168 meV/atom. Its crystal system is tetragonal. Its energy relative to the elements is 397 meV/atom.

The structure in CIF format:
```
data_KLiCu2
_chemical_formula_sum 'K1 Li1 Cu2'
_cell_length_a 3.193
_cell_length_b 3.193
_cell_length_c 7.389
_cell_angle_alpha 90.00
_cell_angle_beta 90.00
_cell_angle_gamma 90.00
_space_group_name_H-M_alt 'P 1'
_space_group_IT_number 1
_space_group_name_Hall 'P 1'
loop_
_atom_site_label
_atom_site_type_symbol
_atom_site_fract_x
_atom_site_fract_y
_atom_site_fract_z
Cu1 Cu 0.000 0.000 0.666
Cu2 Cu 0.000 0.000 0.334
K1 K 0.500 0.500 0.000
Li1 Li 0.500 0.500 0.500
```



Record 5
Density functional theory data (PBEsol) for NaVP2O8 after structural relaxation.

Values from the calculation:
Its space-group type is P2_1/c. The formation energy without anion corrections is -2.220 eV/atom. Its crystal system is monoclinic.

The structure in CIF format:
```
data_NaVP2O8
_chemical_formula_sum 'Na4 V4 P8 O32'
_cell_length_a 6.183
_cell_length_b 7.556
_cell_length_c 14.269
_cell_angle_alpha 90.00
_cell_angle_beta 90.00
_cell_angle_gamma 100.06
_space_group_name_H-M_alt 'P 1'
_space_group_IT_number 1
_space_group_name_Hall 'P 1'
loop_
_atom_site_label
_atom_site_type_symbol
_atom_site_fract_x
_atom_site_fract_y
_atom_site_fract_z
P1 P 0.225 0.821 0.480
P2 P 0.775 0.179 0.520
P3 P 0.463 0.641 0.617
P4 P 0.725 0.821 0.020
P5 P 0.037 0.359 0.117
P6 P 0.275 0.179 0.980
P7 P 0.963 0.641 0.883
P8 P 0.537 0.359 0.383
O1 O 0.463 0.250 0.298
O2 O 0.267 0.979 0.999
O3 O 0.355 0.445 0.644
O4 O 0.963 0.250 0.202
O5 O 0.645 0.555 0.356
O6 O 0.855 0.445 0.856
O7 O 0.251 0.719 0.574
O8 O 0.407 0.797 0.411
O9 O 0.368 0.356 0.460
O10 O 0.749 0.281 0.426
O11 O 0.751 0.719 0.926
O12 O 0.907 0.797 0.089
O13 O 0.998 0.261 0.561
O14 O 0.868 0.356 0.040
O15 O 0.249 0.281 0.074
O16 O 0.733 0.021 0.001
O17 O 0.502 0.739 0.061
O18 O 0.269 0.900 0.179
O19 O 0.767 0.979 0.501
O20 O 0.769 0.900 0.321
O21 O 0.632 0.644 0.540
O22 O 0.731 0.100 0.821
O23 O 0.145 0.555 0.144
O24 O 0.593 0.203 0.589
O25 O 0.132 0.644 0.960
O26 O 0.498 0.261 0.939
O27 O 0.233 0.021 0.499
O28 O 0.093 0.203 0.911
O29 O 0.037 0.750 0.798
O30 O 0.231 0.100 0.679
O31 O 0.002 0.739 0.439
O32 O 0.537 0.750 0.702
Na1 Na 0.876 0.915 0.699
Na2 Na 0.376 0.915 0.801
Na3 Na 0.624 0.085 0.199
Na4 Na 0.124 0.085 0.301
V1 V 0.789 0.225 0.913
V2 V 0.711 0.775 0.413
V3 V 0.211 0.775 0.087
V4 V 0.289 0.225 0.587
```



Record 6
Density functional theory data (PBEsol) for BeFeCu2 after structural relaxation.

Values from the calculation:
Its space-group type is P4mm. Its crystal system is tetragonal. Its energy relative to the elements is -28 meV/atom.

The structure in CIF format:
```
data_BeFeCu2
_chemical_formula_sum 'Be1 Fe1 Cu2'
_cell_length_a 2.496
_cell_length_b 2.496
_cell_length_c 6.574
_cell_angle_alpha 90.00
_cell_angle_beta 90.00
_cell_angle_gamma 90.00
_space_group_name_H-M_alt 'P 1'
_space_group_IT_number 1
_space_group_name_Hall 'P 1'
loop_
_atom_site_label
_atom_site_type_symbol
_atom_site_fract_x
_atom_site_fract_y
_atom_site_fract_z
Fe1 Fe 0.000 0.000 0.526
Be1 Be 0.500 0.500 0.750
Cu1 Cu 0.500 0.500 0.251
Cu2 Cu 0.000 0.000 0.973
```



Record 7
Density functional theory data (PBEsol) for MgCuTc2 after structural relaxation.

Values from the calculation:
Its space-group type is Pm. Its crystal system is monoclinic. Its energy relative to the elements is 228 meV/atom.

The structure in CIF format:
```
data_MgCuTc2
_chemical_formula_sum 'Mg1 Cu1 Tc2'
_cell_length_a 2.618
_cell_length_b 4.284
_cell_length_c 5.128
_cell_angle_alpha 90.00
_cell_angle_beta 98.65
_cell_angle_gamma 90.00
_space_group_name_H-M_alt 'P 1'
_space_group_IT_number 1
_space_group_name_Hall 'P 1'
loop_
_atom_site_label
_atom_site_type_symbol
_atom_site_fract_x
_atom_site_fract_y
_atom_site_fract_z
Tc1 Tc 0.966 0.000 0.029
Tc2 Tc 0.759 0.500 0.228
Cu1 Cu 0.529 0.000 0.513
Mg1 Mg 0.246 0.500 0.730
```



Record 8
Density functional theory data (PBEsol) for Sr3InPb after structural relaxation.

Values from the calculation:
Its space-group type is Pm-3m. The value obtained for the energy above the most stable polymorph in this dataset is 0 meV/atom. Its crystal system is cubic. Its energy relative to the elements is -31 meV/atom.

The structure in CIF format:
```
data_Sr3InPb
_chemical_formula_sum 'Sr3 In1 Pb1'
_cell_length_a 6.257
_cell_length_b 6.257
_cell_length_c 6.257
_cell_angle_alpha 90.00
_cell_angle_beta 90.00
_cell_angle_gamma 90.00
_space_group_name_H-M_alt 'P 1'
_space_group_IT_number 1
_space_group_name_Hall 'P 1'
loop_
_atom_site_label
_atom_site_type_symbol
_atom_site_fract_x
_atom_site_fract_y
_atom_site_fract_z
Pb1 Pb 0.000 0.000 0.000
Sr1 Sr 0.000 0.000 0.500
Sr2 Sr 0.000 0.500 0.000
Sr3 Sr 0.500 0.000 0.000
In1 In 0.500 0.500 0.500
```



Total energy
In order: -21.6, -30.8, -33.2, -10.2, -365.0, -21.7, -27.7, -12.7
Unit: eV for the cell shown